Entry from Alexandria via LeMat-Bulk: Rb4Er3MoO8 after structural relaxation (PBE+U).

abc: 7.6250 7.6250 7.6250
angles: 53.64 53.64 53.64
Fractional coordinates of all 16 atoms:
Rb  0.0000  0.0000  0.0000
Rb  0.0000  0.5000  0.5000
Rb  0.5000  0.0000  0.5000
Rb  0.5000  0.5000  0.0000
Er  0.0000  0.0000  0.5000
Er  0.0000  0.5000  0.0000
Er  0.5000  0.0000  0.0000
Mo  0.5000  0.5000  0.5000
O  0.2248  0.2248  0.2248
O  0.2290  0.7223  0.7223
O  0.2777  0.2777  0.7710
O  0.2777  0.7710  0.2777
O  0.7223  0.2290  0.7223
O  0.7223  0.7223  0.2290
O  0.7710  0.2777  0.2777
O  0.7752  0.7752  0.7752

Values from the calculation:
Spin magnetization ... 3.00 μB per formula unit
Final energy ... -6.4430 eV/atom